(1)
# Ce3BiSe6 | Alexandria | PBE | relaxed
# Mass density in g/cm3: 6.2
# Calculated volume in Å³/atom: 29.4
# E_tot in eV per atom: -5.683
# Formation energy without anion corrections in eV per atom: -1.424
# M_tot in μB per formula unit: 2.94
data_Ce3BiSe6
_chemical_formula_sum 'Ce12 Bi4 Se24'
_cell_length_a 11.350
_cell_length_b 14.253
_cell_length_c 7.277
_cell_angle_alpha 90.00
_cell_angle_beta 90.00
_cell_angle_gamma 90.00
_symmetry_space_group_name_H-M 'C m c 21'
_symmetry_Int_Tables_number 36
loop_
_symmetry_equiv_pos_as_xyz
'x,y,z'
'-x,-y,z+1/2'
'-x,y,z'
'x,-y,z+1/2'
'x+1/2,y+1/2,z'
'-x+1/2,-y+1/2,z+1/2'
'-x+1/2,y+1/2,z'
'x+1/2,-y+1/2,z+1/2'
loop_
_atom_site_label
_atom_site_fract_x
_atom_site_fract_y
_atom_site_fract_z
Ce1 0.000 0.098 0.000
Ce2 0.184 0.400 0.899
Bi1 0.000 0.326 0.387
Se1 0.000 0.268 0.762
Se2 0.000 0.494 0.141
Se3 0.163 0.032 0.701
Se4 0.173 0.233 0.174

=====

(2)
# Ce3BiSe2 | Alexandria | PBE | relaxed
# Mass density in g/cm3: 7.5
# Polymorph energy (0 for the lowest one) in meV/atom: 0.0
# Calculated volume in Å³/atom: 29.0
# E_tot in eV per atom: -6.211
# Formation energy without anion corrections in eV per atom: -1.436
# M_tot in μB per formula unit: 3.20
data_Ce3BiSe2
_chemical_formula_sum 'Ce12 Bi4 Se8'
_cell_length_a 7.512
_cell_length_b 13.039
_cell_length_c 7.523
_cell_angle_alpha 90.00
_cell_angle_beta 109.42
_cell_angle_gamma 90.00
_symmetry_space_group_name_H-M 'C 1 2/c 1'
_symmetry_Int_Tables_number 15
loop_
_symmetry_equiv_pos_as_xyz
'x,y,z'
'-x,-y,-z'
'-x,y,-z+1/2'
'x,-y,z+1/2'
'x+1/2,y+1/2,z'
'-x+1/2,-y+1/2,-z'
'-x+1/2,y+1/2,-z+1/2'
'x+1/2,-y+1/2,z+1/2'
loop_
_atom_site_label
_atom_site_fract_x
_atom_site_fract_y
_atom_site_fract_z
Ce1 0.226 0.091 0.495
Ce2 0.250 0.250 0.000
Bi1 0.000 0.424 0.750
Se1 0.000 0.084 0.750
Se2 0.000 0.257 0.250

=====

(3)
# Ce3Bi2Se | Alexandria | PBE | relaxed
# Mass density in g/cm3: 8.0
# Calculated volume in Å³/atom: 31.6
# E_tot in eV per atom: -5.945
# Formation energy without anion corrections in eV per atom: -1.103
# M_tot in μB per formula unit: 3.11
data_Ce3Bi2Se
_chemical_formula_sum 'Ce12 Bi8 Se4'
_cell_length_a 7.750
_cell_length_b 13.439
_cell_length_c 7.741
_cell_angle_alpha 90.00
_cell_angle_beta 109.61
_cell_angle_gamma 90.00
_symmetry_space_group_name_H-M 'C 1 2/m 1'
_symmetry_Int_Tables_number 12
loop_
_symmetry_equiv_pos_as_xyz
'x,y,z'
'-x,-y,-z'
'-x,y,-z'
'x,-y,z'
'x+1/2,y+1/2,z'
'-x+1/2,-y+1/2,-z'
'-x+1/2,y+1/2,-z'
'x+1/2,-y+1/2,z'
loop_
_atom_site_label
_atom_site_fract_x
_atom_site_fract_y
_atom_site_fract_z
Ce1 0.228 0.000 0.229
Ce2 0.247 0.173 0.762
Bi1 0.000 0.000 0.500
Bi2 0.000 0.340 0.500
Bi3 0.000 0.500 0.000
Se1 0.000 0.168 0.000

=====

(4)
# Ce6BiSe5 | Alexandria | PBE | relaxed
# Mass density in g/cm3: 7.3
# Calculated volume in Å³/atom: 27.6
# E_tot in eV per atom: -6.364
# Formation energy without anion corrections in eV per atom: -1.622
# M_tot in μB per formula unit: 5.89
data_Ce6BiSe5
_chemical_formula_sum 'Ce12 Bi2 Se10'
_cell_length_a 7.389
_cell_length_b 12.811
_cell_length_c 7.411
_cell_angle_alpha 90.00
_cell_angle_beta 109.52
_cell_angle_gamma 90.00
_symmetry_space_group_name_H-M 'C 1 2/m 1'
_symmetry_Int_Tables_number 12
loop_
_symmetry_equiv_pos_as_xyz
'x,y,z'
'-x,-y,-z'
'-x,y,-z'
'x,-y,z'
'x+1/2,y+1/2,z'
'-x+1/2,-y+1/2,-z'
'-x+1/2,y+1/2,-z'
'x+1/2,-y+1/2,z'
loop_
_atom_site_label
_atom_site_fract_x
_atom_site_fract_y
_atom_site_fract_z
Ce1 0.237 0.000 0.256
Ce2 0.239 0.174 0.738
Bi1 0.000 0.500 0.000
Se1 0.000 0.000 0.500
Se2 0.000 0.168 0.000
Se3 0.000 0.340 0.500

=====

(5)
# Ce3Bi5Se12 | Alexandria | PBE | relaxed
# Mass density in g/cm3: 6.2
# Calculated volume in Å³/atom: 32.6
# E_tot in eV per atom: -4.736
# Formation energy without anion corrections in eV per atom: -0.785
# M_tot in μB per formula unit: 3.02
data_Ce3Bi5Se12
_chemical_formula_sum 'Ce24 Bi40 Se96'
_cell_length_a 17.337
_cell_length_b 17.337
_cell_length_c 17.337
_cell_angle_alpha 90.00
_cell_angle_beta 90.00
_cell_angle_gamma 90.00
_symmetry_space_group_name_H-M 'I a -3 d'
_symmetry_Int_Tables_number 230
_symmetry_space_group_name_Hall '-I 4bd 2c 3'
loop_
_atom_site_label
_atom_site_fract_x
_atom_site_fract_y
_atom_site_fract_z
Ce1 0.000 0.250 0.125
Bi1 0.000 0.000 0.000
Bi2 0.000 0.250 0.375
Se1 0.015 0.069 0.654

=====

(6)
# Ce3BiSe3 | Alexandria | PBE | relaxed
# Mass density in g/cm3: 6.7
# Calculated volume in Å³/atom: 30.6
# E_tot in eV per atom: -6.028
# Formation energy without anion corrections in eV per atom: -1.438
# M_tot in μB per formula unit: 2.97
data_Ce3BiSe3
_chemical_formula_sum 'Ce18 Bi6 Se18'
_cell_length_a 9.0917
_cell_length_b 9.0917
_cell_length_c 17.9554
_cell_angle_alpha 90.00
_cell_angle_beta 90.00
_cell_angle_gamma 120.00
_symmetry_space_group_name_H-M 'R -3'
_symmetry_Int_Tables_number 148
_symmetry_space_group_name_Hall '-R 3'
loop_
_atom_site_label
_atom_site_fract_x
_atom_site_fract_y
_atom_site_fract_z
Ce1 0.0087 0.3677 0.4206
Bi1 0.0000 0.0000 0.1624
Se1 0.0068 0.2877 0.5909

=====

(7)
# CeBiSe3 | Alexandria | PBE | relaxed
# Mass density in g/cm3: 5.3
# Polymorph energy (0 for the lowest one) in meV/atom: 47.5
# Calculated volume in Å³/atom: 36.4
# E_tot in eV per atom: -5.060
# Formation energy without anion corrections in eV per atom: -1.006
# M_tot in μB per formula unit: 0.88
data_CeBiSe3
_chemical_formula_sum 'Ce2 Bi2 Se6'
_cell_length_a 7.470
_cell_length_b 4.334
_cell_length_c 11.811
_cell_angle_alpha 90.00
_cell_angle_beta 107.67
_cell_angle_gamma 90.00
_symmetry_space_group_name_H-M 'P 1 21/m 1'
_symmetry_Int_Tables_number 11
loop_
_symmetry_equiv_pos_as_xyz
'x,y,z'
'-x,-y,-z'
'-x,y+1/2,-z'
'x,-y+1/2,z'
loop_
_atom_site_label
_atom_site_fract_x
_atom_site_fract_y
_atom_site_fract_z
Ce1 0.227 0.250 0.439
Bi1 0.386 0.250 0.847
Se1 0.060 0.250 0.636
Se2 0.254 0.750 0.951
Se3 0.430 0.750 0.359

=====

(8)
# Ce4BiSe3 | Alexandria | PBE | relaxed
# Mass density in g/cm3: 7.3
# Calculated volume in Å³/atom: 28.4
# E_tot in eV per atom: -6.275
# Formation energy without anion corrections in eV per atom: -1.516
# M_tot in μB per formula unit: 4.25
data_Ce4BiSe3
_chemical_formula_sum 'Ce4 Bi1 Se3'
_cell_length_a 4.292
_cell_length_b 6.119
_cell_length_c 8.659
_cell_angle_alpha 90.00
_cell_angle_beta 90.00
_cell_angle_gamma 90.00
_symmetry_space_group_name_H-M 'P m m m'
_symmetry_Int_Tables_number 47
loop_
_symmetry_equiv_pos_as_xyz
'x,y,z'
'-x,-y,-z'
'-x,-y,z'
'x,y,-z'
'x,-y,-z'
'-x,y,z'
'-x,y,-z'
'x,-y,z'
loop_
_atom_site_label
_atom_site_fract_x
_atom_site_fract_y
_atom_site_fract_z
Ce1 0.000 0.000 0.000
Ce2 0.000 0.000 0.500
Ce3 0.500 0.500 0.231
Bi1 0.000 0.500 0.500
Se1 0.000 0.500 0.000
Se2 0.500 0.000 0.249

=====

(9)
# CeBiSe3 | Alexandria | PBE | relaxed
# Mass density in g/cm3: 5.8
# Polymorph energy (0 for the lowest one) in meV/atom: 0.0
# Calculated volume in Å³/atom: 33.6
# E_tot in eV per atom: -5.108
# Formation energy without anion corrections in eV per atom: -1.054
# M_tot in μB per formula unit: 0.95
data_CeBiSe3
_chemical_formula_sum 'Ce2 Bi2 Se6'
_cell_length_a 7.570
_cell_length_b 4.303
_cell_length_c 10.559
_cell_angle_alpha 90.00
_cell_angle_beta 102.65
_cell_angle_gamma 90.00
_symmetry_space_group_name_H-M 'P 1 21/m 1'
_symmetry_Int_Tables_number 11
loop_
_symmetry_equiv_pos_as_xyz
'x,y,z'
'-x,-y,-z'
'-x,y+1/2,-z'
'x,-y+1/2,z'
loop_
_atom_site_label
_atom_site_fract_x
_atom_site_fract_y
_atom_site_fract_z
Ce1 0.235 0.250 0.473
Bi1 0.361 0.250 0.852
Se1 0.009 0.750 0.339
Se2 0.268 0.750 0.003
Se3 0.443 0.750 0.644

=====

(10)
# Ce3Bi2Se | Alexandria | PBE | relaxed
# Mass density in g/cm3: 8.0
# Calculated volume in Å³/atom: 31.6
# E_tot in eV per atom: -5.946
# Formation energy without anion corrections in eV per atom: -1.105
# M_tot in μB per formula unit: 3.09
data_Ce3Bi2Se
_chemical_formula_sum 'Ce48 Bi32 Se16'
_cell_length_a 8.949
_cell_length_b 12.662
_cell_length_c 26.759
_cell_angle_alpha 90.00
_cell_angle_beta 90.00
_cell_angle_gamma 90.00
_symmetry_space_group_name_H-M 'F d d d'
_symmetry_Int_Tables_number 70
loop_
_symmetry_equiv_pos_as_xyz
'x,y,z'
'-x,-y,-z'
'-x+1/4,-y+1/4,z'
'x+1/4,y+1/4,-z'
'x,-y+1/4,-z+1/4'
'-x,y+1/4,z+1/4'
'-x+1/4,y,-z+1/4'
'x+1/4,-y,z+1/4'
'x,y+1/2,z+1/2'
'-x,-y+1/2,-z+1/2'
'-x+1/4,-y+3/4,z+1/2'
'x+1/4,y+3/4,-z+1/2'
'x,-y+3/4,-z+3/4'
'-x,y+3/4,z+3/4'
'-x+1/4,y+1/2,-z+3/4'
'x+1/4,-y+1/2,z+3/4'
'x+1/2,y,z+1/2'
'-x+1/2,-y,-z+1/2'
'-x+3/4,-y+1/4,z+1/2'
'x+3/4,y+1/4,-z+1/2'
'x+1/2,-y+1/4,-z+3/4'
'-x+1/2,y+1/4,z+3/4'
'-x+3/4,y,-z+3/4'
'x+3/4,-y,z+3/4'
'x+1/2,y+1/2,z'
'-x+1/2,-y+1/2,-z'
'-x+3/4,-y+3/4,z'
'x+3/4,y+3/4,-z'
'x+1/2,-y+3/4,-z+1/4'
'-x+1/2,y+3/4,z+1/4'
'-x+3/4,y+1/2,-z+1/4'
'x+3/4,-y+1/2,z+1/4'
loop_
_atom_site_label
_atom_site_fract_x
_atom_site_fract_y
_atom_site_fract_z
Ce1 0.106 0.375 0.375
Ce2 0.116 0.368 0.212
Bi1 0.125 0.125 0.377
Bi2 0.125 0.125 0.544
Se1 0.125 0.125 0.042

=====

(11)
# Ce2BiSe6 | Alexandria | PBE | relaxed
# Mass density in g/cm3: 6.3
# Calculated volume in Å³/atom: 28.2
# E_tot in eV per atom: -5.117
# Formation energy without anion corrections in eV per atom: -1.044
# M_tot in μB per formula unit: 0.00
data_Ce2BiSe6
_chemical_formula_sum 'Ce4 Bi2 Se12'
_cell_length_a 6.986
_cell_length_b 7.208
_cell_length_c 11.339
_cell_angle_alpha 90.00
_cell_angle_beta 117.24
_cell_angle_gamma 90.00
_symmetry_space_group_name_H-M 'P 1 21/c 1'
_symmetry_Int_Tables_number 14
loop_
_symmetry_equiv_pos_as_xyz
'x,y,z'
'-x,-y,-z'
'-x,y+1/2,-z+1/2'
'x,-y+1/2,z+1/2'
loop_
_atom_site_label
_atom_site_fract_x
_atom_site_fract_y
_atom_site_fract_z
Ce1 0.162 0.116 0.217
Bi1 0.500 0.000 0.000
Se1 0.104 0.196 0.936
Se2 0.229 0.667 0.915
Se3 0.445 0.079 0.737

=====

(12)
# Ce2BiSe5 | Alexandria | PBE | relaxed
# Mass density in g/cm3: 6.9
# Polymorph energy (0 for the lowest one) in meV/atom: 0.0
# Calculated volume in Å³/atom: 26.5
# E_tot in eV per atom: -5.424
# Formation energy without anion corrections in eV per atom: -1.277
# M_tot in μB per formula unit: 1.06
data_Ce2BiSe5
_chemical_formula_sum 'Ce4 Bi2 Se10'
_cell_length_a 8.158
_cell_length_b 12.442
_cell_length_c 4.185
_cell_angle_alpha 90.00
_cell_angle_beta 90.00
_cell_angle_gamma 90.00
_symmetry_space_group_name_H-M 'P b a m'
_symmetry_Int_Tables_number 55
loop_
_symmetry_equiv_pos_as_xyz
'x,y,z'
'-x,-y,-z'
'-x,-y,z'
'x,y,-z'
'x+1/2,-y+1/2,-z'
'-x+1/2,y+1/2,z'
'-x+1/2,y+1/2,-z'
'x+1/2,-y+1/2,z'
loop_
_atom_site_label
_atom_site_fract_x
_atom_site_fract_y
_atom_site_fract_z
Ce1 0.030 0.175 0.000
Bi1 0.000 0.500 0.500
Se1 0.000 0.000 0.500
Se2 0.178 0.392 0.000
Se3 0.182 0.702 0.500